VASP calculation (GGA-PBE) on a relaxed NaSmP2O6 crystal.

Lattice parameters (Å, degrees): 6.532 6.532 8.130 104.78 104.78 115.47
Element x y z (fractional)
Na 0.122 0.878 0.250
Na 0.878 0.122 0.750
Sm 0.533 0.467 0.250
Sm 0.467 0.533 0.750
P 0.325 0.007 0.754
P 0.993 0.675 0.746
P 0.675 0.993 0.246
P 0.007 0.325 0.254
O 0.922 0.512 0.276
O 0.488 0.078 0.224
O 0.078 0.488 0.724
O 0.512 0.922 0.776
O 0.071 0.274 0.084
O 0.726 0.929 0.416
O 0.929 0.726 0.916
O 0.274 0.071 0.584
O 0.253 0.414 0.421
O 0.586 0.747 0.079
O 0.747 0.586 0.579
O 0.414 0.253 0.921

The calculation puts the total magnetic moment at 0.00 μB/atom. The volume is 13.76 Å³/atom. Its space group is No. 15. As for the formation energy (no corrections): -2.52 eV/atom. Its density of states at the Fermi level is 0.00 states/eV/cell.